The following is a PBE calculation of a relaxed ReRu2Br crystal, from Alexandria via LeMat-Bulk.

a b c (Å): 4.9177 4.9177 4.5966
angles (deg): 87.43 87.43 34.15
Fractional positions:
Ru: 0.5253 0.5253 0.4763
Ru: 0.9747 0.9747 0.0237
Br: 0.7500 0.7500 0.7500
Re: 0.2500 0.2500 0.2500

Properties
formation energy without anion corrections = 3.4 eV per formula unit
polymorph energy (0 for the lowest one) = 347.7 meV per atom
energy = -7.3100 eV/atom
space-group type = C2/m
size of the total moment = 0.000 μB per cell

The following is a PBE calculation of a relaxed Tb7Ir2Rh2 crystal, from Alexandria via LeMat-Bulk.

a b c (Å): 6.6459 6.8501 6.6459
angles (deg): 90.06 101.64 89.94
Fractional positions:
Tb: 0.4998 0.2579 0.5002
Tb: 0.5002 0.7421 0.4998
Tb: 0.4999 0.2621 0.0003
Tb: 0.0000 0.0000 0.0000
Tb: 0.5001 0.7379 0.9997
Tb: 0.0003 0.7379 0.4999
Tb: 0.9997 0.2621 0.5001
Ir: 0.7222 0.0000 0.2778
Ir: 0.2778 0.0000 0.7222
Rh: 0.2224 0.5000 0.2224
Rh: 0.7776 0.5000 0.7776

Properties
energy = -6.4042 eV/atom
space-group type = C2/m
size of the total moment = 0.000 μB per cell

The following is a PBE calculation of a relaxed NdHo5Er2 crystal, from Alexandria via LeMat-Bulk.

a b c (Å): 4.9921 7.0815 14.1687
angles (deg): 90.00 90.00 90.00
Fractional positions:
Ho: 0.0000 0.0001 0.2488
Ho: 0.0000 0.4999 0.7488
Ho: 0.5000 0.2508 0.3741
Ho: 0.5000 0.7492 0.6259
Ho: 0.0000 0.5001 0.2512
Ho: 0.5000 0.7508 0.1259
Ho: 0.0000 0.0000 0.0000
Ho: 0.0000 0.5000 0.5000
Ho: 0.0000 0.9999 0.7512
Ho: 0.5000 0.2492 0.8741
Er: 0.5000 0.2494 0.1259
Er: 0.5000 0.7494 0.3741
Er: 0.5000 0.7506 0.8741
Er: 0.5000 0.2506 0.6259
Nd: 0.0000 0.0000 0.5000
Nd: 0.0000 0.5000 0.0000

Properties
polymorph energy (0 for the lowest one) = 0.0 meV per atom
energy = -4.5790 eV/atom
space-group type = Pbam
size of the total moment = 0.006 μB per cell

The following is a PBE calculation of a relaxed PuCrGe crystal, from Alexandria via LeMat-Bulk.

a b c (Å): 3.2762 4.4815 4.4815
angles (deg): 120.00 90.00 90.00
Fractional positions:
Pu: 0.6665 0.6667 0.3333
Cr: 0.1668 0.3333 0.6667
Ge: 0.1667 0.0000 0.0000

Properties
energy = -9.6371 eV/atom
space-group type = P-6m2
size of the total moment = 1.941 μB per cell

The following is a PBE calculation of a relaxed Li2LaW crystal, from Alexandria via LeMat-Bulk.

a b c (Å): 2.8922 3.7708 7.5937
angles (deg): 90.00 90.00 90.00
Fractional positions:
La: 0.5000 0.5000 0.7156
Li: 0.5000 0.5000 0.2608
Li: 0.0000 0.0000 0.0743
W: 0.0000 0.0000 0.4493

Properties
polymorph energy (0 for the lowest one) = 85.1 meV per atom
energy = -4.8403 eV/atom
space-group type = Pmm2
size of the total moment = 0.000 μB per cell

The following is a PBE calculation of a relaxed Nd2Sm5Dy2 crystal, from Alexandria via LeMat-Bulk.

a b c (Å): 11.9461 6.8332 10.1772
angles (deg): 109.62 125.94 90.00
Fractional positions:
Nd: 0.6240 0.1861 0.2531
Nd: 0.1291 0.6861 0.2531
Nd: 0.3760 0.9330 0.7469
Nd: 0.8709 0.4330 0.7469
Dy: 0.5000 0.5284 0.0000
Dy: 0.7414 0.8508 0.5000
Dy: 0.2586 0.3508 0.5000
Dy: 0.0000 0.0284 0.0000
Sm: 0.9924 0.1584 0.5000
Sm: 0.0076 0.6584 0.5000
Sm: 0.5914 0.2384 0.7135
Sm: 0.6221 0.7384 0.7135
Sm: 0.8017 0.2604 0.1048
Sm: 0.8031 0.7604 0.1048
Sm: 0.3779 0.0250 0.2865
Sm: 0.4086 0.5250 0.2865
Sm: 0.1983 0.1556 0.8952
Sm: 0.1969 0.6556 0.8952

Properties
polymorph energy (0 for the lowest one) = 89.3 meV per atom
energy = -4.4994 eV/atom
space-group type = Ima2
size of the total moment = 0.000 μB per cell

Number 1: density of states at the Fermi level 1.100 states/eV/atom. Number 2: density of states at the Fermi level 0.518 states/eV/atom. Number 3: density of states at the Fermi level 1.188 states/eV/atom. Number 4: density of states at the Fermi level 1.312 states/eV/atom. Number 5: density of states at the Fermi level 0.686 states/eV/atom. Number 6: density of states at the Fermi level 1.518 states/eV/atom.